Computed, not measured: a relaxed Nd3TeRuBr crystal at the PBE-GGA level of DFT.

Unit cell a=8.258 b=4.316 c=10.119 alpha=90.00 beta=110.87 gamma=90.00
Element x y z (fractional)
Nd (0.021, 0.250, 0.362)
Nd (0.183, 0.250, 0.978)
Nd (0.402, 0.750, 0.594)
Nd (0.598, 0.250, 0.406)
Nd (0.817, 0.750, 0.022)
Nd (0.979, 0.750, 0.638)
Te (0.233, 0.750, 0.225)
Te (0.767, 0.250, 0.775)
Ru (0.231, 0.250, 0.662)
Ru (0.769, 0.750, 0.338)
Br (0.370, 0.750, 0.881)
Br (0.630, 0.250, 0.119)

Raw total energy (eV per atom): -5.530
DOS(E_F) (states/eV/cell): 6.13
Volume (Å³ per cell): 337.0